A plane-wave DFT calculation with GGA-PBE was carried out for a relaxed structure of Pu2Co15Ru2.

Values from the calculation:
- Calculated volume: 12.9 A^3/atom
- Total DFT energy (no corrections): -463.35 eV for the cell shown
- Crystal system: trigonal

Unit cell a=8.3502 b=8.3502 c=12.1496 alpha=90.00 beta=90.00 gamma=120.00
Last column: nearest neighbours and their distance in Å.
Space group R-3m (No. 166, hexagonal axes)
Unique sites:
Pu 0.0000 0.0000 0.1559 [6 per cell]  1 Ru 2.93, 18 Co 2.93-3.23
Co 0.0000 0.2948 0.5000 [18 per cell]  8 Co 2.39-2.55
Co 0.0000 0.5000 0.0000 [9 per cell]  8 Co 2.39-2.43, 2 Ru 2.53
Co 0.0036 0.5018 0.6514 [18 per cell]  8 Co 2.41-2.55, 1 Ru 2.62
Ru 0.0000 0.0000 0.3967 [6 per cell]  1 Ru 2.51, 12 Co 2.53-2.76

=====

A plane-wave DFT calculation with GGA-PBE was carried out for a relaxed structure of UIn2I4F2.

Values from the calculation:
- Calculated volume: 37.9 A^3/atom
- Total DFT energy (no corrections): -78.58 eV for the cell shown
- Energy relative to the elements, uncorrected: -1.3980 eV per atom
- Crystal system: monoclinic

Unit cell a=12.8877 b=8.5449 c=6.1997 alpha=90.00 beta=91.39 gamma=90.00
Last column: nearest neighbours and their distance in Å.
Space group C2/m (No. 12)
Unique sites:
U 0.0000 0.0000 0.0000 [2 per cell]  2 F 2.04
In 0.1594 0.5000 0.7896 [4 per cell]  4 I 3.51-3.52
I 0.1277 0.2566 0.2385 [8 per cell]  1 U 3.10
F 0.1104 0.0000 0.7698 [4 per cell]  1 U 2.04

=====

A plane-wave DFT calculation with GGA-PBE was carried out for a relaxed structure of PaNi4As.

Values from the calculation:
- Calculated volume: 14.4 A^3/atom
- Polymorph energy (0 for the lowest one): 0.00 kcal/mol of atoms
- Total DFT energy (no corrections): -79.11 eV for the cell shown
- Crystal system: orthorhombic

Unit cell a=7.0040 b=3.7461 c=6.5796 alpha=90.00 beta=90.00 gamma=90.00
Last column: nearest neighbours and their distance in Å.
Space group Pmma (No. 51)
Unique sites:
Pa 0.2500 0.0000 0.1505 [2 per cell]  8 Ni 2.73-2.89, 1 As 2.81
Ni 0.0000 0.0000 0.5000 [2 per cell]  2 As 2.29
Ni 0.0316 0.5000 0.8078 [4 per cell]  2 As 2.48, 5 Ni 2.57-2.77, 2 Pa 2.73
Ni 0.2500 0.5000 0.4607 [2 per cell]  2 As 2.55, 8 Ni 2.58-2.75, 2 Pa 2.77
As 0.2500 0.0000 0.7242 [2 per cell]  8 Ni 2.29-2.55

=====

A plane-wave DFT calculation with GGA-PBE was carried out for a relaxed structure of EuHoGaGe.

Values from the calculation:
- Calculated volume: 23.9 A^3/atom
- Total DFT energy (no corrections): -98.44 eV for the cell shown
- Crystal system: cubic

Unit cell a=7.2633 b=7.2633 c=7.2633 alpha=90.00 beta=90.00 gamma=90.00
Last column: nearest neighbours and their distance in Å.
Space group F-43m (No. 216)
Unique sites:
Eu 0.0000 0.0000 0.0000 [4 per cell]  4 Ge 3.15, 4 Ga 3.15
Ho 0.0000 0.0000 0.5000 [4 per cell]  4 Ge 3.15, 4 Ga 3.15
Ga 0.2500 0.2500 0.7500 [4 per cell]  4 Ho 3.15, 4 Eu 3.15
Ge 0.2500 0.2500 0.2500 [4 per cell]  4 Ho 3.15, 4 Eu 3.15

=====

A plane-wave DFT calculation with GGA-PBE was carried out for a relaxed structure of NaPHCl2.

Values from the calculation:
- Calculated volume: 34.5 A^3/atom
- Polymorph energy (0 for the lowest one): 20.40 kcal/mol of atoms
- Total DFT energy (no corrections): -10.34 eV for the cell shown
- Crystal system: tetragonal

Unit cell a=5.2878 b=5.2878 c=6.1611 alpha=90.00 beta=90.00 gamma=90.00
Last column: nearest neighbours and their distance in Å.
Space group P4/mmm (No. 123)
Unique sites:
Na 0.0000 0.0000 0.0000 [1 per cell]  4 Cl 2.64
P 0.0000 0.0000 0.5000 [1 per cell]  2 Na 3.08
H 0.5000 0.5000 0.5000 [1 per cell]  4 P 3.74, 8 Cl 4.06
Cl 0.0000 0.5000 0.0000 [2 per cell]  2 Na 2.64

=====

A plane-wave DFT calculation with GGA-PBE was carried out for a relaxed structure of NaPb6.

Values from the calculation:
- Calculated volume: 33.7 A^3/atom
- Polymorph energy (0 for the lowest one): 0.16 kcal/mol of atoms
- Total DFT energy (no corrections): -46.80 eV for the cell shown
- Crystal system: tetragonal

Unit cell a=6.6722 b=6.6722 c=10.5832 alpha=90.00 beta=90.00 gamma=90.00
Last column: nearest neighbours and their distance in Å.
Space group P4/nbm (No. 125, origin choice 2)
Unique sites:
Na 0.2500 0.7500 0.0000 [2 per cell]  12 Pb 3.69-4.12
Pb 0.0685 0.5685 0.3543 [8 per cell]  8 Pb 3.27-3.46
Pb 0.2500 0.2500 0.1487 [4 per cell]  5 Pb 3.15-3.27

=====

A plane-wave DFT calculation with GGA-PBE was carried out for a relaxed structure of Pm2PrHf.

Values from the calculation:
- Calculated volume: 31.1 A^3/atom
- Polymorph energy (0 for the lowest one): 1.00 kcal/mol of atoms
- Total DFT energy (no corrections): -23.31 eV for the cell shown
- Crystal system: tetragonal

Unit cell a=4.0550 b=4.0550 c=7.5538 alpha=90.00 beta=90.00 gamma=90.00
Last column: nearest neighbours and their distance in Å.
Space group P4/mmm (No. 123)
Unique sites:
Pm 0.0000 0.0000 0.2147 [2 per cell]  1 Pm 3.24, 4 Hf 3.29, 4 Pr 3.59
Pr 0.5000 0.5000 0.5000 [1 per cell]  8 Pm 3.59, 2 Hf 3.78
Hf 0.5000 0.5000 0.0000 [1 per cell]  8 Pm 3.29

=====

A plane-wave DFT calculation with GGA-PBE was carried out for a relaxed structure of RbSiO2.

Values from the calculation:
- Calculated volume: 14.3 A^3/atom
- Total DFT energy (no corrections): -61.81 eV for the cell shown
- Energy relative to the elements, uncorrected: -1.0743 eV per atom
- Crystal system: trigonal

Unit cell a=3.0280 b=3.0280 c=21.6657 alpha=90.00 beta=90.00 gamma=120.00
Last column: nearest neighbours and their distance in Å.
Space group R-3m (No. 166, hexagonal axes)
Unique sites:
Rb 0.0000 0.0000 0.0000 [3 per cell]  2 O 2.73, 6 Rb 3.03
Si 0.0000 0.0000 0.5000 [3 per cell]  6 O 1.96
O 0.0000 0.0000 0.1259 [6 per cell]  3 Si 1.96

=====

Record order is preserved below.
D(E_F): 29.44, 0.08, 5.02, 2.33, 7.28, 3.48, 6.77, 1.89 states/eV/f.u.